PBE LiSe2O6, optimized geometry; total energy = -90.8 eV for the cell shown; spin magnetization = 0.969 μB/f.u.; space group = Pc (7)
1.0
5.561 0.000 0.000
0.000 7.530 0.000
-5.188 0.000 6.863
Li Se O
2 4 12
Direct
0.000 0.206 0.000
0.000 0.794 0.500
0.210 0.242 0.672
0.210 0.758 0.172
0.689 0.364 0.234
0.689 0.636 0.734
0.056 0.057 0.552
0.056 0.943 0.052
0.174 0.292 0.844
0.174 0.708 0.344
0.430 0.272 0.246
0.430 0.728 0.746
0.556 0.280 0.740
0.556 0.720 0.240
0.855 0.226 0.175
0.855 0.774 0.675
0.989 0.419 0.494
0.989 0.581 0.994

PBE LiSe3O, optimized geometry; total energy = -13.1 eV for the cell shown; spin magnetization = 0.000 μB/f.u.; space group = Pm-3m (221)
1.0
4.476 0.000 0.000
0.000 4.476 0.000
0.000 0.000 4.476
Li Se O
1 3 1
Direct
0.000 0.000 0.000
0.000 0.000 0.500
0.000 0.500 0.000
0.500 0.000 0.000
0.500 0.500 0.500

PBE Li2Sm3Se3O2, optimized geometry; total energy = -59.2 eV for the cell shown; spin magnetization = 0.000 μB/f.u.; space group = I4/mmm (139)
1.0
-2.047 2.047 12.623
2.047 -2.047 12.623
2.047 2.047 -12.623
Li Sm Se O
2 3 3 2
Direct
0.250 0.750 0.500
0.750 0.250 0.500
0.000 0.000 0.000
0.362 0.362 0.000
0.638 0.638 0.000
0.118 0.118 0.000
0.500 0.500 0.000
0.882 0.882 0.000
0.280 0.280 0.000
0.720 0.720 0.000

PBE LiSmSeO, optimized geometry; total energy = -49.1 eV for the cell shown; spin magnetization = 0.000 μB/f.u.; space group = P4/nmm (129)
1.0
3.996 0.000 0.000
0.000 3.996 0.000
0.000 0.000 9.037
Li Sm Se O
2 2 2 2
Direct
0.250 0.750 0.000
0.750 0.250 0.000
0.250 0.250 0.372
0.750 0.750 0.628
0.250 0.250 0.824
0.750 0.750 0.176
0.250 0.750 0.500
0.750 0.250 0.500

PBE LiSm2SeO6, optimized geometry; total energy = -134.1 eV for the cell shown; spin magnetization = 0.626 μB/f.u.; space group = P2_1/c (14)
1.0
5.419 0.000 0.000
0.000 5.776 0.000
-5.321 0.000 7.707
Li Sm Se O
2 4 2 12
Direct
0.000 0.000 0.000
0.000 0.500 0.500
0.231 0.072 0.749
0.231 0.428 0.249
0.769 0.572 0.751
0.769 0.928 0.251
0.500 0.000 0.500
0.500 0.500 0.000
0.159 0.183 0.451
0.159 0.317 0.951
0.265 0.712 0.445
0.265 0.788 0.945
0.362 0.035 0.259
0.362 0.465 0.759
0.638 0.535 0.241
0.638 0.965 0.741
0.735 0.212 0.055
0.735 0.288 0.555
0.841 0.683 0.049
0.841 0.817 0.549

PBE LiSn2SeO, optimized geometry; total energy = -19.6 eV for the cell shown; spin magnetization = 0.000 μB/f.u.; space group = P4/mmm (123)
1.0
4.695 0.000 0.000
0.000 4.695 0.000
0.000 0.000 5.015
Li Sn Se O
1 2 1 1
Direct
0.000 0.000 0.000
0.000 0.500 0.500
0.500 0.000 0.500
0.500 0.500 0.000
0.500 0.500 0.500